Entry 1:
Compound: TlIn2Pb2
Source: Alexandria via LeMat-Bulk
Functional: PBE
Structure: optimized geometry

Cell and atoms, written as POSCAR:
```
TlIn2Pb2
1.0
3.321 0.000 0.000
0.000 5.605 0.000
0.000 0.000 16.557
Tl In Pb
2 4 4
direct
0.000 0.000 0.000
0.500 0.500 0.500
0.000 0.000 0.212
0.000 0.000 0.788
0.500 0.500 0.288
0.500 0.500 0.712
0.000 0.500 0.111
0.000 0.500 0.889
0.500 0.000 0.389
0.500 0.000 0.611
```

Entry 2:
Compound: TlIn4Pb
Source: Alexandria via LeMat-Bulk
Functional: PBE
Structure: optimized geometry

Cell and atoms, written as POSCAR:
```
TlIn4Pb
1.0
0.000 4.457 4.457
4.457 0.000 4.457
4.457 4.457 0.000
Tl In Pb
1 4 1
direct
0.000 0.000 0.000
0.125 0.625 0.625
0.625 0.125 0.625
0.625 0.625 0.125
0.625 0.625 0.625
0.250 0.250 0.250
```

Entry 3:
Compound: Tl2InPb
Source: Alexandria via LeMat-Bulk
Functional: PBE
Structure: optimized geometry

Cell and atoms, written as POSCAR:
```
Tl2InPb
1.0
3.923 0.000 0.000
0.000 3.923 0.000
0.000 0.000 7.858
Tl In Pb
2 1 1
direct
0.000 0.000 0.241
0.000 0.000 0.759
0.500 0.500 0.000
0.500 0.500 0.500
```

Entry 4:
Compound: Tl12In3Pb
Source: Alexandria via LeMat-Bulk
Functional: PBE
Structure: optimized geometry

Cell and atoms, written as POSCAR:
```
Tl12In3Pb
1.0
5.679 0.000 0.000
0.000 5.679 0.000
0.000 0.000 15.012
Tl In Pb
12 3 1
direct
0.000 0.000 0.000
0.000 0.000 0.247
0.000 0.000 0.500
0.000 0.000 0.753
0.000 0.500 0.124
0.000 0.500 0.372
0.000 0.500 0.628
0.000 0.500 0.876
0.500 0.000 0.124
0.500 0.000 0.372
0.500 0.000 0.628
0.500 0.000 0.876
0.500 0.500 0.000
0.500 0.500 0.247
0.500 0.500 0.753
0.500 0.500 0.500
```

Entry 5:
Compound: TlIn2Pb
Source: Alexandria via LeMat-Bulk
Functional: PBE
Structure: optimized geometry

Cell and atoms, written as POSCAR:
```
TlIn2Pb
1.0
3.379 0.000 0.000
0.000 5.348 0.000
-1.290 0.000 6.511
Tl In Pb
1 2 1
direct
0.000 0.000 0.000
0.625 0.000 0.486
0.665 0.500 0.227
0.295 0.500 0.713
```

Entry 6:
Compound: Tl6In7Pb16
Source: Alexandria via LeMat-Bulk
Functional: PBE
Structure: optimized geometry

Cell and atoms, written as POSCAR:
```
Tl6In7Pb16
1.0
0.000 7.788 7.788
7.788 0.000 7.788
7.788 7.788 0.000
Tl In Pb
6 7 16
direct
0.210 0.210 0.790
0.210 0.790 0.210
0.210 0.790 0.790
0.790 0.210 0.210
0.790 0.210 0.790
0.790 0.790 0.210
0.000 0.000 0.500
0.000 0.500 0.000
0.000 0.500 0.500
0.500 0.000 0.000
0.500 0.000 0.500
0.500 0.500 0.000
0.500 0.500 0.500
0.143 0.619 0.619
0.165 0.165 0.165
0.165 0.165 0.506
0.165 0.506 0.165
0.381 0.381 0.381
0.381 0.381 0.857
0.381 0.857 0.381
0.494 0.835 0.835
0.506 0.165 0.165
0.619 0.143 0.619
0.619 0.619 0.143
0.619 0.619 0.619
0.835 0.494 0.835
0.835 0.835 0.494
0.835 0.835 0.835
0.857 0.381 0.381
```

Entry 7:
Compound: TlIn2Pb
Source: Alexandria via LeMat-Bulk
Functional: PBE
Structure: optimized geometry

Cell and atoms, written as POSCAR:
```
TlIn2Pb
1.0
7.809 0.000 0.000
0.000 7.809 0.000
0.000 0.000 7.809
Tl In Pb
4 8 4
direct
0.000 0.000 0.000
0.000 0.500 0.500
0.500 0.000 0.500
0.500 0.500 0.000
0.250 0.250 0.250
0.250 0.250 0.750
0.250 0.750 0.250
0.250 0.750 0.750
0.750 0.250 0.250
0.750 0.250 0.750
0.750 0.750 0.250
0.750 0.750 0.750
0.000 0.000 0.500
0.000 0.500 0.000
0.500 0.000 0.000
0.500 0.500 0.500
```

Entry 8:
Compound: Tl6In8Pb
Source: Alexandria via LeMat-Bulk
Functional: PBE
Structure: optimized geometry

Cell and atoms, written as POSCAR:
```
Tl6In8Pb
1.0
5.794 0.000 0.000
-0.941 8.388 0.000
-0.654 -2.553 8.929
Tl In Pb
6 8 1
direct
0.073 0.137 0.397
0.137 0.274 0.799
0.272 0.546 0.601
0.728 0.454 0.399
0.863 0.726 0.201
0.927 0.863 0.603
0.206 0.406 0.190
0.333 0.669 0.997
0.399 0.804 0.395
0.469 0.939 0.806
0.531 0.061 0.194
0.601 0.196 0.605
0.667 0.331 0.003
0.794 0.594 0.810
0.000 0.000 0.000
```

Entry 9:
Compound: TlIn15Pb4
Source: Alexandria via LeMat-Bulk
Functional: PBE
Structure: optimized geometry

Cell and atoms, written as POSCAR:
```
TlIn15Pb4
1.0
5.201 0.000 0.000
0.000 5.201 0.000
0.000 0.000 20.982
Tl In Pb
1 15 4
direct
0.000 0.000 0.000
0.000 0.500 0.099
0.000 0.500 0.299
0.000 0.500 0.500
0.000 0.500 0.701
0.000 0.500 0.901
0.500 0.000 0.099
0.500 0.000 0.299
0.500 0.000 0.500
0.500 0.000 0.701
0.500 0.000 0.901
0.500 0.500 0.000
0.500 0.500 0.200
0.500 0.500 0.400
0.500 0.500 0.600
0.500 0.500 0.800
0.000 0.000 0.198
0.000 0.000 0.400
0.000 0.000 0.600
0.000 0.000 0.802
```

Entry 10:
Compound: Tl2InPb2
Source: Alexandria via LeMat-Bulk
Functional: PBE
Structure: optimized geometry

Cell and atoms, written as POSCAR:
```
Tl2InPb2
1.0
4.537 0.000 0.000
0.000 4.537 0.000
0.000 0.000 16.421
Tl In Pb
4 2 4
direct
0.000 0.000 0.097
0.000 0.000 0.903
0.500 0.500 0.403
0.500 0.500 0.597
0.000 0.000 0.500
0.500 0.500 0.000
0.000 0.500 0.250
0.000 0.500 0.750
0.500 0.000 0.250
0.500 0.000 0.750
```

no.,D(E_F) (states/eV/cell),calculated total energy (eV/atom),magnetization (μB per atom)
1,3.817,-2.99,0.00
2,3.156,-2.78,0.00
3,1.947,-2.76,0.00
4,3.006,-2.51,0.00
5,1.859,-2.86,0.00
6,20.408,-3.13,0.00
7,7.166,-2.87,0.00
8,5.753,-2.64,0.00
9,6.881,-2.90,0.00
10,5.359,-2.83,0.00